No. 1
DFT (PBE) results for an optimized crystal structure of Tb3AlPt3.

Calculated values
ΔH_f (0 K), meV/atom: -1167
Magnetic moment, μB per atom: 0.0000
Total DFT energy (no corrections), eV per atom: -6.27

Lattice parameters (Å, degrees): 4.054 5.657 14.236 90.00 90.00 111.00
Sites, in units of the cell vectors:
Tb: 0.208 0.416 0.893
Tb: 0.792 0.584 0.107
Tb: 0.208 0.416 0.607
Tb: 0.792 0.584 0.393
Tb: 0.483 0.965 0.750
Tb: 0.517 0.035 0.250
Al: 0.500 0.000 0.000
Al: 0.500 0.000 0.500
Pt: 0.922 0.845 0.911
Pt: 0.078 0.155 0.089
Pt: 0.922 0.845 0.589
Pt: 0.078 0.155 0.411
Pt: 0.756 0.512 0.750
Pt: 0.244 0.488 0.250


No. 2
DFT (PBE) results for an optimized crystal structure of La2Sb2Au.

Calculated values
Magnetic moment, μB per atom: 0.0000
Total DFT energy (no corrections), eV per atom: -5.12
Energy relative to the elements, uncorrected, eV per atom: -0.8415

Lattice parameters (Å, degrees): 8.250 8.250 4.363 90.00 90.00 90.00
Sites, in units of the cell vectors:
Sb: 0.342 0.842 0.000
Sb: 0.842 0.658 0.000
Sb: 0.658 0.158 0.000
Sb: 0.158 0.342 0.000
Au: 0.000 0.000 0.000
Au: 0.500 0.500 0.000
La: 0.153 0.653 0.500
La: 0.653 0.847 0.500
La: 0.847 0.347 0.500
La: 0.347 0.153 0.500


No. 3
DFT (PBE) results for an optimized crystal structure of Ti5MoOs6.

Calculated values
ΔH_f (0 K), meV/atom: -532
Magnetic moment, μB per atom: 0.0000
Total DFT energy (no corrections), eV per atom: -10.34

Lattice parameters (Å, degrees): 4.375 6.195 7.589 114.09 106.75 90.00
Sites, in units of the cell vectors:
Mo: 0.000 0.000 0.000
Os: 0.833 0.581 0.665
Os: 0.833 0.085 0.665
Os: 0.500 0.745 0.000
Os: 0.500 0.255 0.000
Os: 0.167 0.915 0.335
Os: 0.167 0.419 0.335
Ti: 0.664 0.164 0.329
Ti: 0.332 0.332 0.664
Ti: 0.000 0.500 0.000
Ti: 0.668 0.668 0.336
Ti: 0.336 0.836 0.671


- What is the magnetic moment in the first record?
  0.0000 μB per atom